(1)
A plane-wave DFT calculation with PBE was carried out for a relaxed structure of Pm5ErPb4.

Cell lengths 5.446, 7.323, 11.378 Å; angles 129.47, 103.85, 90.00 degrees
Sites, in units of the cell vectors:
1 Er 0.500 0.000 0.000
2 Pb 0.326 0.900 0.651
3 Pb 0.008 0.262 0.017
4 Pb 0.674 0.100 0.349
5 Pb 0.992 0.738 0.983
6 Pm 0.833 0.673 0.667
7 Pm 0.167 0.327 0.333
8 Pm 0.500 0.500 0.000
9 Pm 0.834 0.163 0.668
10 Pm 0.166 0.837 0.332

Size of the total moment   0.00 μB per formula unit
Symmetry   C2/m, No. 12
DOS(E_F)   7.23 states/eV per cell
E_form   -3.6 eV/f.u.

(2)
A plane-wave DFT calculation with PBE was carried out for a relaxed structure of Pm5ErPb6.

Cell lengths 9.493, 5.937, 7.876 Å; angles 67.85, 80.62, 64.40 degrees
Sites, in units of the cell vectors:
1 Pm 0.500 0.170 0.659
2 Pm 0.000 0.663 0.675
3 Pm 0.500 0.830 0.341
4 Pm 0.000 0.337 0.325
5 Pm 0.500 0.500 0.000
6 Pb 0.245 0.594 0.329
7 Pb 0.755 0.077 0.329
8 Pb 0.254 0.226 0.000
9 Pb 0.746 0.774 0.000
10 Pb 0.755 0.406 0.671
11 Pb 0.245 0.923 0.671
12 Er 0.000 0.000 0.000

Size of the total moment   0.00 μB per formula unit
Symmetry   C2/m, No. 12
DOS(E_F)   8.10 states/eV per cell
E_form   -5.8 eV/f.u.

(3)
A plane-wave DFT calculation with PBE was carried out for a relaxed structure of Pm7ErPb4.

Cell lengths 5.940, 9.567, 7.871 Å; angles 77.54, 67.83, 71.91 degrees
Sites, in units of the cell vectors:
1 Er 0.000 0.000 0.000
2 Pm 0.208 0.109 0.474
3 Pm 0.792 0.891 0.526
4 Pm 0.055 0.626 0.264
5 Pm 0.945 0.374 0.736
6 Pm 0.297 0.630 0.775
7 Pm 0.500 0.000 0.000
8 Pm 0.703 0.370 0.225
9 Pb 0.564 0.242 0.630
10 Pb 0.699 0.671 0.931
11 Pb 0.301 0.329 0.069
12 Pb 0.436 0.758 0.370

Size of the total moment   0.00 μB per formula unit
Symmetry   C2/m, No. 12
DOS(E_F)   10.73 states/eV per cell
E_form   -1.8 eV/f.u.

(4)
A plane-wave DFT calculation with PBE was carried out for a relaxed structure of PmEr2Pb.

Cell lengths 3.634, 3.634, 9.249 Å; angles 90.00, 90.00, 90.00 degrees
Sites, in units of the cell vectors:
1 Er 0.000 0.000 0.231
2 Er 0.000 0.000 0.769
3 Pm 0.500 0.500 0.500
4 Pb 0.500 0.500 0.000

Size of the total moment   0.00 μB per formula unit
Symmetry   P4/mmm, No. 123
DOS(E_F)   4.66 states/eV per cell
E_form   -0.8 eV/f.u.

(5)
A plane-wave DFT calculation with PBE was carried out for a relaxed structure of PmEr3Pb3.

Cell lengths 9.259, 9.259, 8.267 Å; angles 55.95, 55.95, 60.00 degrees
Sites, in units of the cell vectors:
1 Pb 0.715 0.445 0.765
2 Pb 0.925 0.285 0.235
3 Pb 0.285 0.555 0.235
4 Pb 0.555 0.925 0.235
5 Pb 0.075 0.715 0.765
6 Pb 0.445 0.075 0.765
7 Pm 0.667 0.667 0.999
8 Pm 0.333 0.333 0.001
9 Er 0.196 0.904 0.278
10 Er 0.096 0.377 0.722
11 Er 0.623 0.196 0.278
12 Er 0.377 0.804 0.722
13 Er 0.804 0.096 0.722
14 Er 0.904 0.623 0.278

Size of the total moment   0.00 μB per formula unit
Symmetry   R-3, No. 148
DOS(E_F)   5.58 states/eV per cell
E_form   -2.2 eV/f.u.

(6)
A plane-wave DFT calculation with PBE was carried out for a relaxed structure of Pm2ErPb.

Cell lengths 3.647, 3.647, 11.356 Å; angles 80.76, 80.76, 60.00 degrees
Sites, in units of the cell vectors:
1 Er 0.500 0.500 0.500
2 Pm 0.081 0.081 0.756
3 Pm 0.252 0.252 0.244
4 Pb 0.666 0.666 0.001

Size of the total moment   0.23 μB per formula unit
Symmetry   R3m, No. 160
DOS(E_F)   4.56 states/eV per cell
E_form   -0.6 eV/f.u.

(7)
A plane-wave DFT calculation with PBE was carried out for a relaxed structure of Pm2ErPb2.

Cell lengths 4.547, 8.237, 8.237 Å; angles 90.00, 90.00, 90.00 degrees
Sites, in units of the cell vectors:
1 Pm 0.500 0.332 0.168
2 Pm 0.500 0.832 0.332
3 Pm 0.500 0.668 0.832
4 Pm 0.500 0.168 0.668
5 Pb 0.000 0.363 0.863
6 Pb 0.000 0.137 0.363
7 Pb 0.000 0.863 0.637
8 Pb 0.000 0.637 0.137
9 Er 0.000 0.000 0.000
10 Er 0.000 0.500 0.500

Size of the total moment   0.00 μB per formula unit
Symmetry   P4/mbm, No. 127
DOS(E_F)   8.71 states/eV per cell
E_form   -2.6 eV/f.u.

(8)
A plane-wave DFT calculation with PBE was carried out for a relaxed structure of PmEr2Pb3.

Cell lengths 6.436, 6.445, 9.075 Å; angles 99.74, 110.77, 90.00 degrees
Sites, in units of the cell vectors:
1 Pm 0.122 0.250 0.000
2 Pm 0.878 0.750 0.000
3 Er 0.218 0.904 0.667
4 Er 0.551 0.596 0.333
5 Er 0.782 0.096 0.333
6 Er 0.449 0.404 0.667
7 Pb 0.619 0.250 0.000
8 Pb 0.381 0.750 0.000
9 Pb 0.061 0.577 0.337
10 Pb 0.277 0.077 0.337
11 Pb 0.723 0.923 0.663
12 Pb 0.939 0.423 0.663

Size of the total moment   0.00 μB per formula unit
Symmetry   C2/c, No. 15
DOS(E_F)   4.59 states/eV per cell
E_form   -2.7 eV/f.u.

(9)
A plane-wave DFT calculation with PBE was carried out for a relaxed structure of PmErPb.

Cell lengths 4.141, 4.141, 5.912 Å; angles 110.50, 110.50, 90.00 degrees
Sites, in units of the cell vectors:
1 Pm 0.956 0.956 0.912
2 Er 0.273 0.273 0.546
3 Pb 0.621 0.621 0.241

Size of the total moment   0.87 μB per formula unit
Symmetry   I4mm, No. 107
DOS(E_F)   4.05 states/eV per cell
E_form   -0.8 eV/f.u.

(10)
A plane-wave DFT calculation with PBE was carried out for a relaxed structure of Pm2ErPb2.

Cell lengths 5.114, 6.608, 9.614 Å; angles 90.00, 105.43, 90.00 degrees
Sites, in units of the cell vectors:
1 Pb 0.423 0.023 0.846
2 Pb 0.810 0.524 0.620
3 Pb 0.577 0.523 0.154
4 Pb 0.190 0.024 0.380
5 Pm 0.000 0.273 0.000
6 Pm 0.807 0.024 0.614
7 Pm 0.193 0.524 0.386
8 Pm 0.000 0.773 0.000
9 Er 0.603 0.023 0.206
10 Er 0.397 0.523 0.794

Size of the total moment   0.00 μB per formula unit
Symmetry   Cmc2_1, No. 36
DOS(E_F)   7.42 states/eV per cell
E_form   -2.4 eV/f.u.

(11)
A plane-wave DFT calculation with PBE was carried out for a relaxed structure of Pm2ErPb3.

Cell lengths 6.396, 7.425, 8.779 Å; angles 102.14, 111.36, 90.00 degrees
Sites, in units of the cell vectors:
1 Pm 0.665 0.584 0.336
2 Pm 0.330 0.916 0.664
3 Pm 0.335 0.416 0.664
4 Pm 0.670 0.084 0.336
5 Pb 0.512 0.250 0.000
6 Pb 0.488 0.750 0.000
7 Pb 0.840 0.419 0.674
8 Pb 0.835 0.919 0.674
9 Pb 0.160 0.581 0.326
10 Pb 0.165 0.081 0.326
11 Er 0.011 0.250 0.000
12 Er 0.989 0.750 0.000

Size of the total moment   0.00 μB per formula unit
Symmetry   C2/c, No. 15
DOS(E_F)   7.47 states/eV per cell
E_form   -2.5 eV/f.u.

(12)
A plane-wave DFT calculation with PBE was carried out for a relaxed structure of Pm5ErPb5.

Cell lengths 6.226, 8.899, 7.353 Å; angles 104.17, 90.00, 110.48 degrees
Sites, in units of the cell vectors:
1 Pm 0.325 0.650 0.705
2 Pm 0.000 0.000 0.500
3 Pm 0.342 0.684 0.211
4 Pm 0.675 0.350 0.295
5 Pm 0.658 0.316 0.789
6 Er 0.000 0.000 0.000
7 Pb 0.500 0.000 0.000
8 Pb 0.163 0.326 0.366
9 Pb 0.835 0.669 0.112
10 Pb 0.837 0.674 0.634
11 Pb 0.165 0.331 0.888

Size of the total moment   0.00 μB per formula unit
Symmetry   C2/m, No. 12
DOS(E_F)   7.66 states/eV per cell
E_form   -3.5 eV/f.u.

(13)
A plane-wave DFT calculation with PBE was carried out for a relaxed structure of PmEr2Pb.

Cell lengths 3.602, 3.602, 11.173 Å; angles 80.72, 80.72, 60.00 degrees
Sites, in units of the cell vectors:
1 Er 0.079 0.079 0.763
2 Er 0.255 0.255 0.236
3 Pm 0.500 0.500 0.500
4 Pb 0.667 0.667 0.000

Size of the total moment   0.00 μB per formula unit
Symmetry   R3m, No. 160
DOS(E_F)   3.79 states/eV per cell
E_form   -0.6 eV/f.u.

(14)
A plane-wave DFT calculation with PBE was carried out for a relaxed structure of PmEr4Pb2.

Cell lengths 5.375, 5.375, 9.026 Å; angles 107.32, 107.32, 90.00 degrees
Sites, in units of the cell vectors:
1 Pm 0.000 0.000 0.000
2 Er 0.182 0.182 0.364
3 Er 0.818 0.818 0.636
4 Er 0.500 0.000 0.000
5 Er 0.000 0.500 0.000
6 Pb 0.370 0.370 0.740
7 Pb 0.630 0.630 0.260

Size of the total moment   0.01 μB per formula unit
Symmetry   I4/mmm, No. 139
DOS(E_F)   9.95 states/eV per cell
E_form   3.5 eV/f.u.

(15)
A plane-wave DFT calculation with PBE was carried out for a relaxed structure of Pm8ErPb6.

Cell lengths 9.371, 9.371, 8.585 Å; angles 56.92, 56.92, 60.00 degrees
Sites, in units of the cell vectors:
1 Pm 0.560 0.233 0.308
2 Pm 0.666 0.666 0.001
3 Pm 0.102 0.440 0.692
4 Pm 0.767 0.102 0.692
5 Pm 0.440 0.767 0.692
6 Pm 0.898 0.560 0.308
7 Pm 0.334 0.334 0.999
8 Pm 0.233 0.898 0.308
9 Pb 0.397 0.069 0.794
10 Pb 0.931 0.260 0.206
11 Pb 0.740 0.397 0.794
12 Pb 0.069 0.740 0.794
13 Pb 0.603 0.931 0.206
14 Pb 0.260 0.603 0.206
15 Er 0.000 0.000 0.000

Size of the total moment   0.00 μB per formula unit
Symmetry   R-3, No. 148
DOS(E_F)   10.64 states/eV per cell
E_form   -5.8 eV/f.u.

(16)
A plane-wave DFT calculation with PBE was carried out for a relaxed structure of Pm5ErPb8.

Cell lengths 8.266, 8.266, 8.266 Å; angles 108.06, 112.34, 108.06 degrees
Sites, in units of the cell vectors:
1 Pb 0.478 0.585 0.207
2 Pb 0.314 0.278 0.410
3 Pb 0.132 0.722 0.036
4 Pb 0.793 0.271 0.378
5 Pb 0.590 0.904 0.868
6 Pb 0.622 0.415 0.892
7 Pb 0.108 0.729 0.522
8 Pb 0.964 0.096 0.686
9 Pm 0.989 0.340 0.096
10 Pm 0.756 0.660 0.650
11 Pm 0.500 0.000 0.500
12 Pm 0.904 0.893 0.244
13 Pm 0.350 0.107 0.011
14 Er 0.250 0.500 0.750

Size of the total moment   0.00 μB per formula unit
Symmetry   I-4, No. 82
DOS(E_F)   11.44 states/eV per cell
E_form   -5.2 eV/f.u.

(17)
A plane-wave DFT calculation with PBE was carried out for a relaxed structure of PmEr2Pb.

Cell lengths 5.358, 6.990, 7.149 Å; angles 90.00, 90.00, 112.54 degrees
Sites, in units of the cell vectors:
1 Pb 0.814 0.628 0.750
2 Pb 0.186 0.372 0.250
3 Er 0.373 0.745 0.523
4 Er 0.627 0.255 0.477
5 Er 0.373 0.745 0.977
6 Er 0.627 0.255 0.023
7 Pm 0.939 0.879 0.250
8 Pm 0.061 0.121 0.750

Size of the total moment   0.00 μB per formula unit
Symmetry   Cmcm, No. 63
DOS(E_F)   8.70 states/eV per cell
E_form   -0.6 eV/f.u.

(18)
A plane-wave DFT calculation with PBE was carried out for a relaxed structure of Pm2ErPb.

Cell lengths 4.980, 4.887, 4.887 Å; angles 90.00, 90.00, 90.00 degrees
Sites, in units of the cell vectors:
1 Pm 0.000 0.000 0.500
2 Pm 0.000 0.500 0.000
3 Er 0.500 0.500 0.500
4 Pb 0.500 0.000 0.000

Size of the total moment   0.00 μB per formula unit
Symmetry   P4/mmm, No. 123
DOS(E_F)   4.49 states/eV per cell
E_form   -1.2 eV/f.u.

(19)
A plane-wave DFT calculation with PBE was carried out for a relaxed structure of PmEr2Pb.

Cell lengths 4.734, 4.663, 11.543 Å; angles 101.65, 90.00, 90.00 degrees
Sites, in units of the cell vectors:
1 Er 0.250 0.556 0.112
2 Er 0.750 0.444 0.888
3 Er 0.750 0.062 0.124
4 Er 0.250 0.938 0.876
5 Pm 0.750 0.692 0.383
6 Pm 0.250 0.308 0.617
7 Pb 0.250 0.164 0.329
8 Pb 0.750 0.836 0.671

Size of the total moment   0.00 μB per formula unit
Symmetry   Cmcm, No. 63
DOS(E_F)   10.01 states/eV per cell
E_form   -1.2 eV/f.u.

(20)
A plane-wave DFT calculation with PBE was carried out for a relaxed structure of PmErPb3.

Cell lengths 4.538, 8.681, 8.386 Å; angles 68.92, 90.00, 90.00 degrees
Sites, in units of the cell vectors:
1 Pb 0.863 0.881 0.841
2 Pb 0.363 0.455 0.382
3 Pb 0.863 0.497 0.068
4 Pb 0.863 0.759 0.412
5 Pb 0.363 0.214 0.071
6 Pb 0.863 0.388 0.703
7 Er 0.363 0.828 0.139
8 Er 0.363 0.135 0.732
9 Pm 0.363 0.656 0.717
10 Pm 0.863 0.129 0.398

Size of the total moment   0.00 μB per formula unit
Symmetry   Pm, No. 6
DOS(E_F)   7.48 states/eV per cell
E_form   -1.5 eV/f.u.

(21)
A plane-wave DFT calculation with PBE was carried out for a relaxed structure of Pm2Er5Pb4.

Cell lengths 3.516, 8.038, 15.327 Å; angles 124.71, 96.59, 90.00 degrees
Sites, in units of the cell vectors:
1 Pm 0.054 0.762 0.108
2 Pm 0.946 0.238 0.892
3 Pb 0.732 0.676 0.465
4 Pb 0.925 0.585 0.850
5 Pb 0.075 0.415 0.150
6 Pb 0.268 0.324 0.535
7 Er 0.819 0.137 0.639
8 Er 0.155 0.275 0.309
9 Er 0.181 0.863 0.361
10 Er 0.500 0.000 0.000
11 Er 0.845 0.725 0.691

Size of the total moment   0.00 μB per formula unit
Symmetry   C2/m, No. 12
DOS(E_F)   12.63 states/eV per cell
E_form   -0.6 eV/f.u.

(22)
A plane-wave DFT calculation with PBE was carried out for a relaxed structure of Pm5Er5Pb2.

Cell lengths 5.242, 6.305, 16.849 Å; angles 126.32, 90.00, 114.56 degrees
Sites, in units of the cell vectors:
1 Pm 0.261 0.523 0.680
2 Pm 0.640 0.281 0.983
3 Pm 0.360 0.719 0.017
4 Pm 0.500 0.000 0.500
5 Pm 0.739 0.477 0.320
6 Er 0.360 0.720 0.235
7 Er 0.000 0.000 0.000
8 Er 0.876 0.753 0.580
9 Er 0.124 0.247 0.420
10 Er 0.640 0.280 0.765
11 Pb 0.988 0.977 0.807
12 Pb 0.012 0.023 0.193

Size of the total moment   0.00 μB per formula unit
Symmetry   C2/m, No. 12
DOS(E_F)   14.80 states/eV per cell
E_form   -1.0 eV/f.u.

(23)
A plane-wave DFT calculation with PBE was carried out for a relaxed structure of Pm2ErPb4.

Cell lengths 6.274, 6.516, 10.760 Å; angles 90.00, 104.89, 90.00 degrees
Sites, in units of the cell vectors:
1 Er 0.192 0.750 0.196
2 Er 0.808 0.250 0.804
3 Pb 0.656 0.991 0.274
4 Pb 0.065 0.750 0.893
5 Pb 0.344 0.009 0.726
6 Pb 0.121 0.750 0.469
7 Pb 0.935 0.250 0.107
8 Pb 0.344 0.491 0.726
9 Pb 0.656 0.509 0.274
10 Pb 0.879 0.250 0.531
11 Pm 0.375 0.250 0.017
12 Pm 0.625 0.750 0.983
13 Pm 0.308 0.250 0.417
14 Pm 0.692 0.750 0.583

Size of the total moment   0.00 μB per formula unit
Symmetry   P2_1/m, No. 11
DOS(E_F)   10.40 states/eV per cell
E_form   -2.2 eV/f.u.